Record 1
GaTcW2C | PBE | optimized geometry

Calculated values
* DFT formation energy: 2.24 eV per atom
* symmetry: P4/mmm

Structure (extended XYZ):
```
5
Lattice="-2.698 0.970 -3.879 -3.932 0.207 2.787 0.517 3.357 0.480" Properties=species:S:1:pos:R:3 pbc="T T T"
C 0.258 1.679 0.240
Ga 0.000 0.000 0.000
Tc -3.057 2.267 -0.306
W -1.966 0.104 1.393
W -1.349 0.485 -1.940
```



Record 2
YGa2TcC | PBE | optimized geometry

Calculated values
* DFT formation energy: 1.20 eV per atom
* symmetry: P4/mmm

Structure (extended XYZ):
```
5
Lattice="4.754 0.000 0.000 0.000 5.254 0.000 0.000 0.000 4.754" Properties=species:S:1:pos:R:3 pbc="T T T"
Y 0.000 2.627 0.000
C 2.377 2.627 2.377
Tc 0.000 0.000 0.000
Ga 0.000 0.000 2.377
Ga 2.377 0.000 0.000
```



Record 3
YGa2Tc2C | PBE | optimized geometry

Calculated values
* DFT formation energy: -0.38 eV per atom
* symmetry: P4/mmm

Structure (extended XYZ):
```
6
Lattice="4.157 0.000 0.000 0.000 4.157 0.000 0.000 0.000 5.517" Properties=species:S:1:pos:R:3 pbc="T T T"
Y 0.000 0.000 2.758
Ga 2.079 2.079 3.973
Ga 2.079 2.079 1.543
Tc 2.079 0.000 0.000
Tc 0.000 2.079 0.000
C 0.000 0.000 0.000
```



Record 4
Zn2GaTcC | PBE | optimized geometry

Calculated values
* DFT formation energy: 0.50 eV per atom
* symmetry: P4/mmm

Structure (extended XYZ):
```
5
Lattice="4.148 0.000 0.000 0.000 4.064 0.000 0.000 0.000 4.148" Properties=species:S:1:pos:R:3 pbc="T T T"
C 0.000 0.000 0.000
Zn 0.000 0.000 2.074
Zn 2.074 0.000 0.000
Tc 0.000 2.032 0.000
Ga 2.074 2.032 2.074
```



Record 5
Zr2GaTcC | PBE | optimized geometry

Calculated values
* DFT formation energy: -0.41 eV per atom
* symmetry: P4/mmm

Structure (extended XYZ):
```
5
Lattice="4.576 0.000 0.000 0.000 4.576 0.000 0.000 0.000 3.982" Properties=species:S:1:pos:R:3 pbc="T T T"
C 0.000 0.000 0.000
Ga 2.288 2.288 1.991
Tc 0.000 0.000 1.991
Zr 0.000 2.288 0.000
Zr 2.288 0.000 0.000
```



Record 6
Ga3TeC | PBE | optimized geometry

Calculated values
* symmetry: Pm-3m
* uncorrected formation energy: 2.6 eV/f.u.

Structure (extended XYZ):
```
5
Lattice="4.541 0.000 0.000 0.000 4.541 0.000 0.000 0.000 4.541" Properties=species:S:1:pos:R:3 pbc="T T T"
C 0.000 0.000 0.000
Te 2.270 2.270 2.270
Ga 0.000 2.270 0.000
Ga 0.000 0.000 2.270
Ga 2.270 0.000 0.000
```